No. 1
{
  "formula": "Sm4Sb3P",
  "functional": "GGA-PBE",
  "state": "optimized geometry",
  "cell": [[4.366, 0.000, 0.000], [0.000, 7.195, -2.452], [0.000, -0.059, 7.602]],
  "species": ["Sb", "Sb", "Sb", "Sm", "Sm", "Sm", "Sm", "P"],
  "frac_coords": [[0.000, 0.000, 0.500], [0.500, 0.500, 0.500], [0.000, 0.500, 0.000], [0.000, 0.234, 0.234], [0.500, 0.759, 0.241], [0.000, 0.766, 0.766], [0.500, 0.241, 0.759], [0.500, 0.000, 0.000]]
}

=====

No. 2
{
  "formula": "Sm8Sb2P",
  "functional": "GGA-PBE",
  "state": "optimized geometry",
  "cell": [[-0.079, -2.429, 3.400], [6.902, 4.626, 3.465], [-6.405, 6.518, 1.939]],
  "species": ["Sm", "Sm", "Sm", "Sm", "Sm", "Sm", "Sm", "Sm", "Sb", "Sb", "P"],
  "frac_coords": [[0.408, 0.461, 0.815], [0.655, 0.023, 0.311], [0.792, 0.641, 0.583], [0.008, 0.215, 0.016], [0.208, 0.359, 0.417], [0.345, 0.977, 0.689], [0.592, 0.539, 0.185], [0.992, 0.785, 0.984], [0.821, 0.233, 0.643], [0.179, 0.767, 0.357], [0.500, 0.000, 0.000]]
}

=====

No. 3
{
  "formula": "Sm3SbP",
  "functional": "GGA-PBE",
  "state": "optimized geometry",
  "cell": [[-2.528, -3.425, -0.111], [0.256, -0.466, 8.522], [-12.381, 9.113, 0.870]],
  "species": ["Sm", "Sm", "Sm", "Sm", "Sm", "Sm", "Sm", "Sm", "Sm", "Sm", "Sm", "Sm", "Sb", "Sb", "Sb", "Sb", "P", "P", "P", "P"],
  "frac_coords": [[0.250, 0.343, 0.529], [0.750, 0.822, 0.212], [0.750, 0.518, 0.893], [0.750, 0.018, 0.607], [0.750, 0.657, 0.471], [0.250, 0.982, 0.393], [0.250, 0.843, 0.971], [0.750, 0.322, 0.288], [0.250, 0.678, 0.712], [0.250, 0.178, 0.788], [0.750, 0.157, 0.029], [0.250, 0.482, 0.107], [0.750, 0.893, 0.813], [0.250, 0.107, 0.187], [0.750, 0.393, 0.687], [0.250, 0.607, 0.313], [0.250, 0.317, 0.948], [0.250, 0.817, 0.552], [0.750, 0.183, 0.448], [0.750, 0.683, 0.052]]
}

=====

No. 4
{
  "formula": "Sm2SbP",
  "functional": "GGA-PBE",
  "state": "optimized geometry",
  "cell": [[-0.782, 0.727, 4.084], [-0.770, -3.228, 2.608], [6.636, -1.358, 3.693]],
  "species": ["Sm", "Sm", "Sb", "P"],
  "frac_coords": [[0.074, 0.074, 0.779], [0.259, 0.259, 0.222], [0.499, 0.499, 0.503], [0.668, 0.668, 0.996]],
  "de_polymorph_mev_per_atom": 100
}

=====

For reference, E_tot by record: -5.82; -5.33; -5.87; -5.99 eV per atom.
For reference, density of states at the Fermi level by record: 1.1; 12.4; 4.0; 1.5 states/eV/f.u..
For reference, raw formation energy by record: -1.2364; -0.6548; -1.1327; -1.2438 eV/atom.